# Zr3NbPd12 (PBE, relaxed)
# Crystal system = tetragonal
# ΔE_f = -655 meV/atom
# Fermi-level density of states = 7.5 states/eV/cell
data_Zr3NbPd12
_symmetry_space_group_name_H-M 'P 4/m m m'
_symmetry_Int_Tables_number 123
_symmetry_space_group_name_Hall '-P 4 2'
_cell_length_a 4.0215
_cell_length_b 4.0215
_cell_length_c 16.1033
_cell_angle_alpha 90.00
_cell_angle_beta 90.00
_cell_angle_gamma 90.00
loop_
_atom_site_label
_atom_site_fract_x
_atom_site_fract_y
_atom_site_fract_z
_atom_site_occupancy
Zr1 0.0000 0.0000 0.0000 1
Zr2 0.0000 0.0000 0.2519 1
Nb1 0.0000 0.0000 0.5000 1
Pd1 0.0000 0.5000 0.1255 1
Pd2 0.0000 0.5000 0.3769 1
Pd3 0.5000 0.5000 0.0000 1
Pd4 0.5000 0.5000 0.2511 1
Pd5 0.5000 0.5000 0.5000 1

***

# Nd2SmHo3 (PBE, relaxed)
# Crystal system = monoclinic
# ΔE_f = 121 meV/atom
# E above lowest polymorph = 0.13 eV per formula unit
# Fermi-level density of states = 36.7 states/eV/cell
data_Nd2SmHo3
_symmetry_space_group_name_H-M 'C 1 2/m 1'
_symmetry_Int_Tables_number 12
_cell_length_a 23.3951
_cell_length_b 3.5100
_cell_length_c 10.3150
_cell_angle_alpha 90.00
_cell_angle_beta 108.50
_cell_angle_gamma 90.00
loop_
_symmetry_equiv_pos_as_xyz
'x,y,z'
'-x,-y,-z'
'-x,y,-z'
'x,-y,z'
'x+1/2,y+1/2,z'
'-x+1/2,-y+1/2,-z'
'-x+1/2,y+1/2,-z'
'x+1/2,-y+1/2,z'
loop_
_atom_site_label
_atom_site_fract_x
_atom_site_fract_y
_atom_site_fract_z
_atom_site_occupancy
Nd1 0.0676 0.0000 0.1366 1
Nd2 0.1905 0.5000 0.3718 1
Sm1 0.1881 0.5000 0.0366 1
Ho1 0.0585 0.5000 0.4457 1
Ho2 0.0693 0.0000 0.7618 1
Ho3 0.1945 0.5000 0.7149 1

***

What is the formula in the second record? Nd2SmHo3

***

Which of these has the highest Fermi-level density of states? Nd2SmHo3